First-principles (GGA-PBE) data for an optimized crystal structure of HgPtNO2, as listed in the Alexandria database.

Cell and atoms, written as POSCAR:
```
HgPtNO2
1.0
-1.451 -2.915 -2.749
2.060 -3.051 2.147
-2.972 -0.517 2.117
Hg O Pt N
1 2 1 1
Direct
0.500 0.500 0.500
0.000 0.500 0.000
0.500 0.000 0.000
0.000 0.000 0.000
0.000 0.000 0.500
```

Computed properties:
Its space group is P4/mmm (123). For the raw formation energy, the calculation gives 560 meV/atom. For the electronic total energy, the calculation gives -21.8 eV/f.u. The value obtained for the density of states at the Fermi level is 1.59 states/eV/f.u. Its total moment is 0.00 μB per formula unit.